VASP calculation (PBE) on a geometry-optimized GdDy2Er structure.

```
data_GdDy2Er
_chemical_formula_sum 'Gd1 Dy2 Er1'
_space_group_name_H-M_alt 'P 1'
_space_group_IT_number 1
_space_group_name_Hall 'P 1'
_cell_length_a 11.729
_cell_length_b 11.729
_cell_length_c 11.729
_cell_angle_alpha 17.38
_cell_angle_beta 17.38
_cell_angle_gamma 17.38
loop_
_atom_site_label
_atom_site_fract_x
_atom_site_fract_y
_atom_site_fract_z
_atom_site_occupancy
Gd1 0.000 0.000 0.000 1
Dy1 0.249 0.249 0.249 1
Dy2 0.751 0.751 0.751 1
Er1 0.500 0.500 0.500 1
```

DFT formation energy = 22 meV/atom
density = 8.583 g/cm³
ΔE to the lowest computed polymorph = 2 meV/atom
space-group type = R-3m (166)

***

VASP calculation (PBE) on a geometry-optimized LiZnCuGe structure.

```
data_LiZnCuGe
_chemical_formula_sum 'Li1 Zn1 Cu1 Ge1'
_space_group_name_H-M_alt 'P 1'
_space_group_IT_number 1
_space_group_name_Hall 'P 1'
_cell_length_a 4.237
_cell_length_b 4.237
_cell_length_c 4.237
_cell_angle_alpha 114.69
_cell_angle_beta 114.69
_cell_angle_gamma 99.47
loop_
_atom_site_label
_atom_site_fract_x
_atom_site_fract_y
_atom_site_fract_z
_atom_site_occupancy
Li1 0.000 0.000 0.000 1
Zn1 0.750 0.250 0.500 1
Cu1 0.250 0.750 0.500 1
Ge1 0.500 0.500 0.000 1
```

DFT formation energy = -115 meV/atom
density = 6.049 g/cm³
ΔE to the lowest computed polymorph = 27 meV/atom
space-group type = I-4m2 (119)

***

VASP calculation (PBE) on a geometry-optimized PmEr3Sb4 structure.

```
data_PmEr3Sb4
_chemical_formula_sum 'Pm1 Er3 Sb4'
_space_group_name_H-M_alt 'P 1'
_space_group_IT_number 1
_space_group_name_Hall 'P 1'
_cell_length_a 6.204
_cell_length_b 6.204
_cell_length_c 6.204
_cell_angle_alpha 90.00
_cell_angle_beta 90.00
_cell_angle_gamma 90.00
loop_
_atom_site_label
_atom_site_fract_x
_atom_site_fract_y
_atom_site_fract_z
_atom_site_occupancy
Pm1 0.000 0.000 0.000 1
Er1 0.000 0.500 0.500 1
Er2 0.500 0.000 0.500 1
Er3 0.500 0.500 0.000 1
Sb1 0.000 0.000 0.500 1
Sb2 0.000 0.500 0.000 1
Sb3 0.500 0.000 0.000 1
Sb4 0.500 0.500 0.500 1
```

ΔE_f (raw) = -1112 meV per atom
density = 7.886 g/cm³
space-group type = Pm-3m (221)

***

VASP calculation (PBE) on a geometry-optimized Ca2MnGe4Pd3 structure.

```
data_Ca2MnGe4Pd3
_chemical_formula_sum 'Ca2 Mn1 Ge4 Pd3'
_space_group_name_H-M_alt 'P 1'
_space_group_IT_number 1
_space_group_name_Hall 'P 1'
_cell_length_a 4.163
_cell_length_b 4.163
_cell_length_c 10.948
_cell_angle_alpha 90.00
_cell_angle_beta 90.00
_cell_angle_gamma 90.00
loop_
_atom_site_label
_atom_site_fract_x
_atom_site_fract_y
_atom_site_fract_z
_atom_site_occupancy
Ca1 0.000 0.500 0.248 1
Ca2 0.500 0.000 0.752 1
Mn1 0.500 0.500 0.000 1
Ge1 0.000 0.000 0.500 1
Ge2 0.000 0.500 0.868 1
Ge3 0.500 0.000 0.132 1
Ge4 0.500 0.500 0.500 1
Pd1 0.000 0.000 0.000 1
Pd2 0.000 0.500 0.638 1
Pd3 0.500 0.000 0.362 1
```

DFT formation energy = -582 meV/atom
density = 6.519 g/cm³
space-group type = P-4m2 (115)

***

VASP calculation (PBE) on a geometry-optimized Dy3ErAl8 structure.

```
data_Dy3ErAl8
_chemical_formula_sum 'Dy3 Er1 Al8'
_space_group_name_H-M_alt 'P 1'
_space_group_IT_number 1
_space_group_name_Hall 'P 1'
_cell_length_a 9.645
_cell_length_b 9.645
_cell_length_c 9.645
_cell_angle_alpha 33.41
_cell_angle_beta 33.41
_cell_angle_gamma 33.41
loop_
_atom_site_label
_atom_site_fract_x
_atom_site_fract_y
_atom_site_fract_z
_atom_site_occupancy
Dy1 0.000 0.000 0.000 1
Dy2 0.125 0.125 0.125 1
Dy3 0.625 0.625 0.625 1
Er1 0.500 0.500 0.500 1
Al1 0.062 0.062 0.562 1
Al2 0.062 0.562 0.062 1
Al3 0.063 0.562 0.562 1
Al4 0.312 0.312 0.312 1
Al5 0.562 0.062 0.062 1
Al6 0.562 0.063 0.562 1
Al7 0.562 0.562 0.063 1
Al8 0.812 0.812 0.812 1
```

DFT formation energy = -516 meV/atom
density = 5.970 g/cm³
ΔE to the lowest computed polymorph = 0 meV/atom
space-group type = R3m (160)

***

VASP calculation (PBE) on a geometry-optimized GaCuNi2Ru structure.

```
data_GaCuNi2Ru
_chemical_formula_sum 'Ga1 Cu1 Ni2 Ru1'
_space_group_name_H-M_alt 'P 1'
_space_group_IT_number 1
_space_group_name_Hall 'P 1'
_cell_length_a 4.401
_cell_length_b 4.401
_cell_length_c 4.627
_cell_angle_alpha 90.00
_cell_angle_beta 90.00
_cell_angle_gamma 90.00
loop_
_atom_site_label
_atom_site_fract_x
_atom_site_fract_y
_atom_site_fract_z
_atom_site_occupancy
Ga1 0.000 0.000 0.000 1
Cu1 0.500 0.500 0.000 1
Ni1 0.000 0.500 0.500 1
Ni2 0.500 0.000 0.500 1
Ru1 0.500 0.500 0.500 1
```

DFT formation energy = 1178 meV/atom
density = 6.516 g/cm³
space-group type = P4/mmm (123)

***

VASP calculation (PBE) on a geometry-optimized KAg2IrBr6 structure.

```
data_KAg2IrBr6
_chemical_formula_sum 'K1 Ag2 Ir1 Br6'
_space_group_name_H-M_alt 'P 1'
_space_group_IT_number 1
_space_group_name_Hall 'P 1'
_cell_length_a 7.225
_cell_length_b 7.229
_cell_length_c 7.743
_cell_angle_alpha 62.28
_cell_angle_beta 62.20
_cell_angle_gamma 60.06
loop_
_atom_site_label
_atom_site_fract_x
_atom_site_fract_y
_atom_site_fract_z
_atom_site_occupancy
K1 0.000 0.000 0.000 1
Ag1 0.283 0.282 0.151 1
Ag2 0.812 0.812 0.565 1
Ir1 0.483 0.483 0.551 1
Br1 0.112 0.446 0.783 1
Br2 0.266 0.849 0.333 1
Br3 0.446 0.660 0.782 1
Br4 0.551 0.266 0.334 1
Br5 0.659 0.114 0.782 1
Br6 0.849 0.551 0.333 1
```

ΔE_f (raw) = -535 meV per atom
density = 5.208 g/cm³
space-group type = P1 (1)

***

VASP calculation (PBE) on a geometry-optimized Y5CdCo structure.

```
data_Y5CdCo
_chemical_formula_sum 'Y10 Cd2 Co2'
_space_group_name_H-M_alt 'P 1'
_space_group_IT_number 1
_space_group_name_Hall 'P 1'
_cell_length_a 5.957
_cell_length_b 5.957
_cell_length_c 11.772
_cell_angle_alpha 103.57
_cell_angle_beta 103.57
_cell_angle_gamma 75.60
loop_
_atom_site_label
_atom_site_fract_x
_atom_site_fract_y
_atom_site_fract_z
_atom_site_occupancy
Y1 0.006 0.994 0.750 1
Y2 0.078 0.404 0.624 1
Y3 0.205 0.554 0.935 1
Y4 0.404 0.078 0.124 1
Y5 0.446 0.795 0.565 1
Y6 0.554 0.205 0.435 1
Y7 0.596 0.922 0.876 1
Y8 0.795 0.446 0.065 1
Y9 0.922 0.596 0.376 1
Y10 0.994 0.006 0.250 1
Cd1 0.410 0.590 0.250 1
Cd2 0.590 0.410 0.750 1
Co1 0.000 0.000 0.000 1
Co2 0.000 0.000 0.500 1
```

DFT formation energy = -48 meV/atom
density = 5.294 g/cm³
space-group type = C2/c (15)

***

VASP calculation (PBE) on a geometry-optimized ZrP2Br structure.

```
data_ZrP2Br
_chemical_formula_sum 'Zr1 P2 Br1'
_space_group_name_H-M_alt 'P 1'
_space_group_IT_number 1
_space_group_name_Hall 'P 1'
_cell_length_a 5.603
_cell_length_b 5.603
_cell_length_c 5.603
_cell_angle_alpha 138.94
_cell_angle_beta 138.94
_cell_angle_gamma 59.46
loop_
_atom_site_label
_atom_site_fract_x
_atom_site_fract_y
_atom_site_fract_z
_atom_site_occupancy
Zr1 0.000 0.000 0.000 1
P1 0.500 0.500 0.000 1
P2 0.750 0.250 0.500 1
Br1 0.250 0.750 0.500 1
```

ΔE_f (raw) = 116 meV per atom
density = 5.150 g/cm³
ΔE to the lowest computed polymorph = 839 meV/atom
space-group type = I-4m2 (119)

***

VASP calculation (PBE) on a geometry-optimized Np2CoB2Ru5 structure.

```
data_Np2CoB2Ru5
_chemical_formula_sum 'Np4 Co2 B4 Ru10'
_space_group_name_H-M_alt 'P 1'
_space_group_IT_number 1
_space_group_name_Hall 'P 1'
_cell_length_a 9.580
_cell_length_b 9.580
_cell_length_c 3.038
_cell_angle_alpha 90.00
_cell_angle_beta 90.00
_cell_angle_gamma 90.00
loop_
_atom_site_label
_atom_site_fract_x
_atom_site_fract_y
_atom_site_fract_z
_atom_site_occupancy
Np1 0.178 0.322 0.000 1
Np2 0.322 0.822 0.000 1
Np3 0.678 0.178 0.000 1
Np4 0.822 0.678 0.000 1
Co1 0.000 0.000 0.000 1
Co2 0.500 0.500 0.000 1
B1 0.123 0.623 0.000 1
B2 0.377 0.123 0.000 1
B3 0.623 0.877 0.000 1
B4 0.877 0.377 0.000 1
Ru1 0.000 0.500 0.500 1
Ru2 0.070 0.783 0.500 1
Ru3 0.217 0.070 0.500 1
Ru4 0.283 0.570 0.500 1
Ru5 0.430 0.283 0.500 1
Ru6 0.500 0.000 0.500 1
Ru7 0.570 0.717 0.500 1
Ru8 0.717 0.430 0.500 1
Ru9 0.783 0.930 0.500 1
Ru10 0.930 0.217 0.500 1
```

DFT formation energy = -187 meV/atom
density = 12.626 g/cm³
space-group type = P4/mbm (127)

***

VASP calculation (PBE) on a geometry-optimized Tb4Pd7Pt6 structure.

```
data_Tb4Pd7Pt6
_chemical_formula_sum 'Tb4 Pd7 Pt6'
_space_group_name_H-M_alt 'P 1'
_space_group_IT_number 1
_space_group_name_Hall 'P 1'
_cell_length_a 7.401
_cell_length_b 7.401
_cell_length_c 7.401
_cell_angle_alpha 109.47
_cell_angle_beta 109.47
_cell_angle_gamma 109.47
loop_
_atom_site_label
_atom_site_fract_x
_atom_site_fract_y
_atom_site_fract_z
_atom_site_occupancy
Tb1 0.000 0.000 0.500 1
Tb2 0.000 0.500 0.000 1
Tb3 0.500 0.000 0.000 1
Tb4 0.500 0.500 0.500 1
Pd1 0.000 0.000 0.000 1
Pd2 0.250 0.500 0.750 1
Pd3 0.250 0.750 0.500 1
Pd4 0.500 0.250 0.750 1
Pd5 0.500 0.750 0.250 1
Pd6 0.750 0.250 0.500 1
Pd7 0.750 0.500 0.250 1
Pt1 0.000 0.300 0.300 1
Pt2 0.000 0.700 0.700 1
Pt3 0.300 0.000 0.300 1
Pt4 0.300 0.300 0.000 1
Pt5 0.700 0.000 0.700 1
Pt6 0.700 0.700 0.000 1
```

DFT formation energy = -807 meV/atom
density = 13.577 g/cm³
space-group type = Im-3m (229)